(1)
# Re2AuIBr, optimized geometry, DFT PBE
# DFT total energy = -3.987 eV per atom
# N(E_F) = 4.97 states/eV/f.u.
# spin magnetization = 3.37 μB/f.u.
data_Re2AuIBr
_cell_length_a 4.654
_cell_length_b 5.646
_cell_length_c 4.654
_cell_angle_alpha 90.00
_cell_angle_beta 90.00
_cell_angle_gamma 90.00
_symmetry_space_group_name_H-M 'P 1'
_symmetry_Int_Tables_number 1
_symmetry_space_group_name_Hall 'P 1'
loop_
_atom_site_label
_atom_site_type_symbol
_atom_site_fract_x
_atom_site_fract_y
_atom_site_fract_z
I1 I 0.500 0.500 0.500
Re1 Re 0.000 0.000 0.500
Re2 Re 0.500 0.000 0.000
Au1 Au 0.000 0.500 0.000
Br1 Br 0.000 0.000 0.000

=====

(2)
# Sc4ReAs, optimized geometry, DFT PBE
# formation energy = 2.83 eV per formula unit
# DFT total energy = -6.599 eV per atom
# N(E_F) = 7.84 states/eV/f.u.
# spin magnetization = 0.03 μB/f.u.
data_Sc4ReAs
_cell_length_a 5.518
_cell_length_b 5.518
_cell_length_c 5.518
_cell_angle_alpha 60.00
_cell_angle_beta 60.00
_cell_angle_gamma 60.00
_symmetry_space_group_name_H-M 'P 1'
_symmetry_Int_Tables_number 1
_symmetry_space_group_name_Hall 'P 1'
loop_
_atom_site_label
_atom_site_type_symbol
_atom_site_fract_x
_atom_site_fract_y
_atom_site_fract_z
Sc1 Sc 0.882 0.373 0.373
Sc2 Sc 0.373 0.373 0.882
Sc3 Sc 0.373 0.882 0.373
Sc4 Sc 0.373 0.373 0.373
Re1 Re 0.000 0.000 0.000
As1 As 0.750 0.750 0.750

=====

(3)
# LiZrIr, optimized geometry, DFT PBE
# formation energy = -0.11 eV per formula unit
# DFT total energy = -6.479 eV per atom
# N(E_F) = 2.66 states/eV/f.u.
# energy above the lowest structure with this stoichiometry = 361 meV per atom
# spin magnetization = 0.00 μB/f.u.
data_LiZrIr
_cell_length_a 2.911
_cell_length_b 2.911
_cell_length_c 7.158
_cell_angle_alpha 90.00
_cell_angle_beta 90.00
_cell_angle_gamma 120.00
_symmetry_space_group_name_H-M 'P 1'
_symmetry_Int_Tables_number 1
_symmetry_space_group_name_Hall 'P 1'
loop_
_atom_site_label
_atom_site_type_symbol
_atom_site_fract_x
_atom_site_fract_y
_atom_site_fract_z
Ir1 Ir 0.000 0.000 0.008
Li1 Li 0.667 0.333 0.299
Zr1 Zr 0.333 0.667 0.692

=====

(4)
# Cs2KAsSe4, optimized geometry, DFT PBE
# DFT total energy = -3.412 eV per atom
# spin magnetization = 0.00 μB/f.u.
data_Cs2KAsSe4
_cell_length_a 7.287
_cell_length_b 8.147
_cell_length_c 13.593
_cell_angle_alpha 83.12
_cell_angle_beta 74.45
_cell_angle_gamma 63.44
_symmetry_space_group_name_H-M 'P 1'
_symmetry_Int_Tables_number 1
_symmetry_space_group_name_Hall 'P 1'
loop_
_atom_site_label
_atom_site_type_symbol
_atom_site_fract_x
_atom_site_fract_y
_atom_site_fract_z
Cs1 Cs 0.186 0.000 0.627
Cs2 Cs 0.814 0.000 0.373
Cs3 Cs 0.564 0.500 0.873
Cs4 Cs 0.936 0.500 0.127
K1 K 0.750 0.500 0.500
K2 K 0.000 0.000 0.000
As1 As 0.250 0.500 0.500
As2 As 0.500 0.000 0.000
Se1 Se 0.373 0.803 0.108
Se2 Se 0.285 0.197 0.892
Se3 Se 0.823 0.803 0.892
Se4 Se 0.519 0.197 0.108
Se5 Se 0.377 0.697 0.392
Se6 Se 0.465 0.303 0.608
Se7 Se 0.927 0.697 0.608
Se8 Se 0.231 0.303 0.392